(1)
Compound: HfZr2HPb
Source: the Alexandria database
Functional: PBE
Structure: optimized geometry

Results
Its energy above the most stable polymorph in this dataset is 97 meV/atom. As for the space-group type: P4/mmm (123).

```
HfZr2HPb
1.0
4.300 0.000 0.000
0.000 4.300 0.000
0.000 0.000 5.078
Hf Zr H Pb
1 2 1 1
Direct
0.000 0.000 0.000 Hf
0.000 0.500 0.500 Zr
0.500 0.000 0.500 Zr
0.500 0.500 0.500 H
0.500 0.500 0.000 Pb
```

=====

(2)
Compound: ScReSe2
Source: the Alexandria database
Functional: PBE
Structure: optimized geometry

Results
Its energy above the most stable polymorph in this dataset is 305 meV/atom. As for the space-group type: P2/m (10).

```
ScReSe2
1.0
3.449 0.000 0.000
0.000 4.010 0.000
-0.247 0.000 5.447
Sc Re Se
1 1 2
Direct
0.000 0.000 0.000 Sc
0.500 0.000 0.500 Re
0.331 0.500 0.741 Se
0.669 0.500 0.259 Se
```

=====

(3)
Compound: CdTe2Se
Source: the Alexandria database
Functional: PBE
Structure: optimized geometry

Results
Its raw total energy is -11.1 eV per cell. As for the space-group type: P4/mmm (123).

```
CdTe2Se
1.0
4.256 0.000 0.000
0.000 4.256 0.000
0.000 0.000 6.169
Cd Te Se
1 2 1
Direct
0.000 0.000 0.000 Cd
0.000 0.000 0.500 Te
0.500 0.500 0.000 Te
0.500 0.500 0.500 Se
```

=====

(4)
Compound: Y3Cu3Rh
Source: the Alexandria database
Functional: PBE
Structure: optimized geometry

Results
Its raw total energy is -83.4 eV per cell. As for the space-group type: C2/m (12).

```
Y3Cu3Rh
1.0
5.046 -1.966 0.000
5.046 1.966 0.000
-4.167 0.000 14.515
Y Cu Rh
6 6 2
Direct
0.030 0.030 0.388 Y
0.108 0.108 0.924 Y
0.242 0.242 0.236 Y
0.758 0.758 0.764 Y
0.892 0.892 0.076 Y
0.970 0.970 0.612 Y
0.360 0.360 0.467 Cu
0.399 0.399 0.924 Cu
0.475 0.475 0.775 Cu
0.525 0.525 0.225 Cu
0.601 0.601 0.076 Cu
0.640 0.640 0.533 Cu
0.269 0.269 0.627 Rh
0.731 0.731 0.373 Rh
```

=====

(5)
Compound: KGeTe2N
Source: the Alexandria database
Functional: PBE
Structure: optimized geometry

Results
Its energy above the most stable polymorph in this dataset is 0 meV/atom. As for the space-group type: P4/mmm (123).

```
KGeTe2N
1.0
6.160 0.000 0.000
0.000 6.160 0.000
0.000 0.000 3.497
K Ge Te N
1 1 2 1
Direct
0.000 0.000 0.000 K
0.500 0.500 0.500 Ge
0.000 0.500 0.500 Te
0.500 0.000 0.500 Te
0.500 0.500 0.000 N
```

=====

(6)
Compound: Sm2Mg2Ag
Source: the Alexandria database
Functional: PBE
Structure: optimized geometry

Results
Its raw total energy is -32.2 eV per cell. As for the space-group type: C2/m (12).

```
Sm2Mg2Ag
1.0
9.033 0.000 0.000
0.000 5.222 0.000
-3.009 0.000 5.564
Sm Mg Ag
4 4 2
Direct
0.103 0.000 0.310 Sm
0.397 0.500 0.690 Sm
0.603 0.500 0.310 Sm
0.897 0.000 0.690 Sm
0.175 0.500 0.024 Mg
0.325 0.000 0.976 Mg
0.675 0.000 0.024 Mg
0.825 0.500 0.976 Mg
0.000 0.500 0.500 Ag
0.500 0.000 0.500 Ag
```

=====

(7)
Compound: BaLa3Pt
Source: the Alexandria database
Functional: PBE
Structure: optimized geometry

Results
Its energy above the most stable polymorph in this dataset is 205 meV/atom. As for the space-group type: Fd-3m (227).

```
BaLa3Pt
1.0
0.000 7.785 7.785
7.785 0.000 7.785
7.785 7.785 0.000
Ba La Pt
4 12 4
Direct
0.000 0.000 0.000 Ba
0.000 0.000 0.500 Ba
0.000 0.500 0.000 Ba
0.500 0.000 0.000 Ba
0.192 0.192 0.558 La
0.192 0.558 0.192 La
0.192 0.558 0.558 La
0.442 0.442 0.808 La
0.442 0.808 0.442 La
0.442 0.808 0.808 La
0.558 0.192 0.192 La
0.558 0.192 0.558 La
0.558 0.558 0.192 La
0.808 0.442 0.442 La
0.808 0.442 0.808 La
0.808 0.808 0.442 La
0.000 0.500 0.500 Pt
0.500 0.000 0.500 Pt
0.500 0.500 0.000 Pt
0.500 0.500 0.500 Pt
```

=====

(8)
Compound: Ba4YTl5
Source: the Alexandria database
Functional: PBE
Structure: optimized geometry

Results
Its raw total energy is -29.8 eV per cell. As for the space-group type: P4/mmm (123).

```
Ba4YTl5
1.0
4.127 0.000 0.000
0.000 4.127 0.000
0.000 0.000 21.602
Ba Y Tl
4 1 5
Direct
0.000 0.000 0.103 Ba
0.000 0.000 0.313 Ba
0.000 0.000 0.687 Ba
0.000 0.000 0.897 Ba
0.000 0.000 0.500 Y
0.500 0.500 0.000 Tl
0.500 0.500 0.206 Tl
0.500 0.500 0.422 Tl
0.500 0.500 0.578 Tl
0.500 0.500 0.794 Tl
```

=====

(9)
Compound: Cs2Bi2Rh
Source: the Alexandria database
Functional: PBE
Structure: optimized geometry

Results
Its raw total energy is -34.8 eV per cell. As for the space-group type: P4/mbm (127).

```
Cs2Bi2Rh
1.0
7.330 0.000 0.000
0.000 7.330 0.000
0.000 0.000 6.585
Cs Bi Rh
4 4 2
Direct
0.176 0.324 0.000 Cs
0.324 0.824 0.000 Cs
0.676 0.176 0.000 Cs
0.824 0.676 0.000 Cs
0.151 0.651 0.500 Bi
0.349 0.151 0.500 Bi
0.651 0.849 0.500 Bi
0.849 0.349 0.500 Bi
0.000 0.000 0.500 Rh
0.500 0.500 0.500 Rh
```

=====

(10)
Compound: InRe2Bi
Source: the Alexandria database
Functional: PBE
Structure: optimized geometry

Results
Its energy above the most stable polymorph in this dataset is 504 meV/atom. As for the space-group type: I-42d (122).

```
InRe2Bi
1.0
7.789 0.000 0.000
0.000 7.789 0.000
0.000 0.000 5.574
In Re Bi
4 8 4
Direct
0.000 0.000 0.000 In
0.000 0.500 0.250 In
0.500 0.000 0.750 In
0.500 0.500 0.500 In
0.249 0.250 0.125 Re
0.250 0.749 0.375 Re
0.250 0.751 0.875 Re
0.251 0.250 0.625 Re
0.749 0.750 0.625 Re
0.750 0.249 0.875 Re
0.750 0.251 0.375 Re
0.751 0.750 0.125 Re
0.000 0.000 0.500 Bi
0.000 0.500 0.750 Bi
0.500 0.000 0.250 Bi
0.500 0.500 0.000 Bi
```

=====

(11)
Compound: Sm3AsSCl
Source: the Alexandria database
Functional: PBE
Structure: optimized geometry

Results
Its raw total energy is -68.3 eV per cell. As for the space-group type: P2_1/m (11).

```
Sm3AsSCl
1.0
8.190 0.000 0.000
0.000 3.973 0.000
-3.307 0.000 9.572
Sm As S Cl
6 2 2 2
Direct
0.030 0.250 0.323 Sm
0.220 0.250 0.050 Sm
0.409 0.750 0.612 Sm
0.591 0.250 0.388 Sm
0.780 0.750 0.950 Sm
0.970 0.750 0.677 Sm
0.300 0.750 0.295 As
0.700 0.250 0.705 As
0.175 0.250 0.613 S
0.825 0.750 0.387 S
0.336 0.750 0.898 Cl
0.664 0.250 0.102 Cl
```

=====

(12)
Compound: TmThPdPb
Source: the Alexandria database
Functional: PBE
Structure: optimized geometry

Results
Its raw total energy is -90.0 eV per cell. As for the space-group type: F-43m (216).

```
TmThPdPb
1.0
7.462 0.000 0.000
0.000 7.462 0.000
0.000 0.000 7.462
Tm Th Pd Pb
4 4 4 4
Direct
0.000 0.000 0.000 Tm
0.000 0.500 0.500 Tm
0.500 0.000 0.500 Tm
0.500 0.500 0.000 Tm
0.000 0.000 0.500 Th
0.000 0.500 0.000 Th
0.500 0.000 0.000 Th
0.500 0.500 0.500 Th
0.250 0.250 0.750 Pd
0.250 0.750 0.250 Pd
0.750 0.250 0.250 Pd
0.750 0.750 0.750 Pd
0.250 0.250 0.250 Pb
0.250 0.750 0.750 Pb
0.750 0.250 0.750 Pb
0.750 0.750 0.250 Pb
```